Computed, not measured: ZrSc2Fe after structural relaxation at the GGA-PBEsol level of DFT.

Cell and atoms, written as CIF:
```
data_ZrSc2Fe
_chemical_formula_sum 'Zr1 Sc2 Fe1'
_cell_length_a 3.092
_cell_length_b 3.092
_cell_length_c 7.748
_cell_angle_alpha 90.00
_cell_angle_beta 90.00
_cell_angle_gamma 90.00
_space_group_name_H-M_alt 'P 4/m m m'
_space_group_IT_number 123
_space_group_name_Hall '-P 4 2'
loop_
_atom_site_label
_atom_site_fract_x
_atom_site_fract_y
_atom_site_fract_z
Zr1 0.000 0.000 0.000
Sc1 0.500 0.500 0.310
Fe1 0.000 0.000 0.500
```

Computed properties:
Formation enthalpy at 0 K in eV/atom: -0.03
Magnetization in μB per formula unit: 0.001
ΔE to the lowest computed polymorph in meV/atom: 60.0
E_tot in eV/cell: -31.40